Below is a relaxed PuTlCdPb crystal, with properties calculated at the PBE-GGA level.

```
PuTlCdPb
1.0
4.5524 0.0000 0.0000
0.0000 4.7717 0.0000
0.0000 0.0000 4.9497
Pu Tl Cd Pb
1 1 1 1
Direct
0.0000 0.0000 0.0000
0.5000 0.0000 0.5000
0.0000 0.5000 0.5000
0.5000 0.5000 0.0000
```

**Excess energy over the best structure of this formula in the dataset**: 0.0 meV/atom
**Theoretical density**: 11.9 g/cm³
**Calculated volume**: 26.9 Å³ per atom
**Space group**: Pmmm (47)

---

Below is a relaxed CaAc2LaSe4 crystal, with properties calculated at the PBE-GGA level.

```
CaAc2LaSe4
1.0
7.5809 0.0000 0.0000
0.0000 4.3435 0.0000
-2.4854 0.0000 7.1678
Ca Ac La Se
1 2 1 4
Direct
0.0000 0.0000 0.0000
0.0000 0.5000 0.5000
0.5000 0.0000 0.5000
0.5000 0.5000 0.0000
0.2388 0.5000 0.2325
0.2485 0.0000 0.7646
0.7515 0.0000 0.2354
0.7612 0.5000 0.7675
```

**Theoretical density**: 6.7 g/cm³
**Calculated volume**: 29.5 Å³ per atom
**Space group**: P2/m (10)

---

Below is a relaxed ZnW4 crystal, with properties calculated at the PBE-GGA level.

```
ZnW4
1.0
4.4944 0.0000 0.0000
0.0000 4.4944 0.0000
0.0000 0.0000 4.4944
Zn W
1 4
Direct
0.0000 0.0000 0.0000
0.0000 0.0000 0.5000
0.0000 0.5000 0.0000
0.5000 0.0000 0.0000
0.5000 0.5000 0.5000
```

**Excess energy over the best structure of this formula in the dataset**: 1816.2 meV/atom
**Theoretical density**: 14.6 g/cm³
**Calculated volume**: 18.2 Å³ per atom
**Space group**: Pm-3m (221)

---

Below is a relaxed CaNbO2 crystal, with properties calculated at the PBE-GGA level.

```
CaNbO2
1.0
0.0000 2.8465 2.8465
2.8465 0.0000 2.8465
2.8465 2.8465 0.0000
Ca Nb O
1 1 2
Direct
0.0000 0.0000 0.0000
0.5000 0.5000 0.5000
0.2500 0.2500 0.2500
0.7500 0.7500 0.7500
```

**Excess energy over the best structure of this formula in the dataset**: 770.7 meV/atom
**Theoretical density**: 5.9 g/cm³
**Calculated volume**: 11.5 Å³ per atom
**Space group**: Fm-3m (225)

---

Below is a relaxed Pu2UCl8 crystal, with properties calculated at the PBE-GGA level.

```
Pu2UCl8
1.0
11.6350 -2.0101 0.0000
11.6350 2.0101 0.0000
-1.1909 0.0000 7.6084
Pu U Cl
2 1 8
Direct
0.1689 0.1689 0.3657
0.8311 0.8311 0.6343
0.5000 0.5000 0.0000
0.9997 0.9997 0.2407
0.0003 0.0003 0.7593
0.2473 0.2473 0.6891
0.3805 0.3805 0.9178
0.3817 0.3817 0.4659
0.6183 0.6183 0.5341
0.6195 0.6195 0.0822
0.7527 0.7527 0.3109
```

**Theoretical density**: 4.7 g/cm³
**Calculated volume**: 32.4 Å³ per atom
**Space group**: C2/m (12)

---

no.,VASP energy (eV/atom)
1,-5.42
2,-5.55
3,-8.59
4,-6.94
5,-6.77